The following is a DFT calculation (PBE-GGA) of Pm3Mg2Zn4 after structural relaxation.

- crystal system = monoclinic
- total magnetization (μB/f.u.) = 0.00
- ΔE_f (meV/atom) = -241
- Fermi-level density of states (states/eV/f.u.) = 7.0

CIF file:
```
data_Pm3Mg2Zn4
_space_group_name_H-M_alt 'C 1 2/m 1'
_space_group_IT_number 12
_cell_length_a 10.978
_cell_length_b 4.796
_cell_length_c 8.948
_cell_angle_alpha 90.00
_cell_angle_beta 118.71
_cell_angle_gamma 90.00
loop_
_space_group_symop_operation_xyz
'x,y,z'
'-x,-y,-z'
'-x,y,-z'
'x,-y,z'
'x+1/2,y+1/2,z'
'-x+1/2,-y+1/2,-z'
'-x+1/2,y+1/2,-z'
'x+1/2,-y+1/2,z'
loop_
_atom_site_label
_atom_site_type_symbol
_atom_site_fract_x
_atom_site_fract_y
_atom_site_fract_z
Pm1 Pm 0.000 0.000 0.000
Pm2 Pm 0.152 0.500 0.684
Mg1 Mg 0.145 0.500 0.313
Zn1 Zn 0.053 0.000 0.390
Zn2 Zn 0.239 0.500 0.069
```